VASP calculation (PBE) on crystalline Nb2TlNi at its relaxed geometry.

Cell and atoms, written as CIF:
```
data_Nb2TlNi
_cell_length_a 6.576
_cell_length_b 6.576
_cell_length_c 6.576
_cell_angle_alpha 90.00
_cell_angle_beta 90.00
_cell_angle_gamma 90.00
_symmetry_space_group_name_H-M 'F m -3 m'
_symmetry_Int_Tables_number 225
_symmetry_space_group_name_Hall '-F 4 2 3'
loop_
_atom_site_label
_atom_site_fract_x
_atom_site_fract_y
_atom_site_fract_z
_atom_site_occupancy
Nb1 0.250 0.250 0.250 1
Tl1 0.000 0.000 0.000 1
Ni1 0.000 0.000 0.500 1
```

The total energy comes out at -106.2 eV/cell. The calculation puts the relative energy among the computed polymorphs at 0 meV/atom. As for the formation energy: 42.2 kJ/mol of atoms.

VASP calculation (PBE) on crystalline NiOs3 at its relaxed geometry.

Cell and atoms, written as CIF:
```
data_NiOs3
_cell_length_a 2.7046
_cell_length_b 2.7046
_cell_length_c 26.0020
_cell_angle_alpha 90.00
_cell_angle_beta 90.00
_cell_angle_gamma 120.00
_symmetry_space_group_name_H-M 'R -3 m'
_symmetry_Int_Tables_number 166
_symmetry_space_group_name_Hall '-R 3 2"'
loop_
_atom_site_label
_atom_site_fract_x
_atom_site_fract_y
_atom_site_fract_z
_atom_site_occupancy
Ni1 0.0000 0.0000 0.0000 1
Os1 0.0000 0.0000 0.2516 1
Os2 0.0000 0.0000 0.5000 1
```

The total energy comes out at -116.3 eV/cell. As for the formation energy: 16.6 kJ/mol of atoms.

VASP calculation (PBE) on crystalline ZrCoOs2 at its relaxed geometry.

Cell and atoms, written as CIF:
```
data_ZrCoOs2
_cell_length_a 6.286
_cell_length_b 6.286
_cell_length_c 6.286
_cell_angle_alpha 90.00
_cell_angle_beta 90.00
_cell_angle_gamma 90.00
_symmetry_space_group_name_H-M 'F m -3 m'
_symmetry_Int_Tables_number 225
_symmetry_space_group_name_Hall '-F 4 2 3'
loop_
_atom_site_label
_atom_site_fract_x
_atom_site_fract_y
_atom_site_fract_z
_atom_site_occupancy
Zr1 0.000 0.000 0.000 1
Co1 0.000 0.000 0.500 1
Os1 0.250 0.250 0.250 1
```

The total energy comes out at -149.1 eV/cell. The calculation puts the relative energy among the computed polymorphs at 242 meV/atom. As for the formation energy: 20.0 kJ/mol of atoms.

VASP calculation (PBE) on crystalline La2Y2Ir at its relaxed geometry.

Cell and atoms, written as CIF:
```
data_La2Y2Ir
_cell_length_a 7.241
_cell_length_b 7.241
_cell_length_c 5.839
_cell_angle_alpha 90.00
_cell_angle_beta 90.00
_cell_angle_gamma 90.00
_symmetry_space_group_name_H-M 'P 4/m b m'
_symmetry_Int_Tables_number 127
_symmetry_space_group_name_Hall '-P 4 2ab'
loop_
_atom_site_label
_atom_site_fract_x
_atom_site_fract_y
_atom_site_fract_z
_atom_site_occupancy
La1 0.166 0.334 0.000 1
Y1 0.161 0.661 0.500 1
Ir1 0.000 0.000 0.500 1
```

The total energy comes out at -64.9 eV/cell. The calculation puts the relative energy among the computed polymorphs at 0 meV/atom. As for the formation energy: -15.1 kJ/mol of atoms.

VASP calculation (PBE) on crystalline Pr3GeH at its relaxed geometry.

Cell and atoms, written as CIF:
```
data_Pr3GeH
_cell_length_a 4.915
_cell_length_b 4.915
_cell_length_c 4.915
_cell_angle_alpha 90.00
_cell_angle_beta 90.00
_cell_angle_gamma 90.00
_symmetry_space_group_name_H-M 'P m -3 m'
_symmetry_Int_Tables_number 221
_symmetry_space_group_name_Hall '-P 4 2 3'
loop_
_atom_site_label
_atom_site_fract_x
_atom_site_fract_y
_atom_site_fract_z
_atom_site_occupancy
Pr1 0.000 0.000 0.500 1
Ge1 0.500 0.500 0.500 1
H1 0.000 0.000 0.000 1
```

The total energy comes out at -24.3 eV/cell. The calculation puts the relative energy among the computed polymorphs at 5 meV/atom.

VASP calculation (PBE) on crystalline Hf3Ti4Al4 at its relaxed geometry.

Cell and atoms, written as CIF:
```
data_Hf3Ti4Al4
_cell_length_a 4.623
_cell_length_b 5.774
_cell_length_c 15.194
_cell_angle_alpha 90.00
_cell_angle_beta 90.00
_cell_angle_gamma 90.00
_symmetry_space_group_name_H-M 'I m m m'
_symmetry_Int_Tables_number 71
_symmetry_space_group_name_Hall '-I 2 2'
loop_
_atom_site_label
_atom_site_fract_x
_atom_site_fract_y
_atom_site_fract_z
_atom_site_occupancy
Hf1 0.000 0.000 0.000 1
Hf2 0.000 0.500 0.114 1
Ti1 0.000 0.262 0.322 1
Al1 0.000 0.000 0.176 1
Al2 0.000 0.224 0.500 1
```

The total energy comes out at -154.9 eV/cell. As for the formation energy: -9.2 kJ/mol of atoms.

VASP calculation (PBE) on crystalline LiLa2Ag2 at its relaxed geometry.

Cell and atoms, written as CIF:
```
data_LiLa2Ag2
_cell_length_a 3.937
_cell_length_b 3.937
_cell_length_c 18.269
_cell_angle_alpha 90.00
_cell_angle_beta 90.00
_cell_angle_gamma 90.00
_symmetry_space_group_name_H-M 'I 4/m m m'
_symmetry_Int_Tables_number 139
_symmetry_space_group_name_Hall '-I 4 2'
loop_
_atom_site_label
_atom_site_fract_x
_atom_site_fract_y
_atom_site_fract_z
_atom_site_occupancy
Li1 0.000 0.000 0.000 1
La1 0.000 0.000 0.392 1
Ag1 0.000 0.500 0.250 1
```

The total energy comes out at -34.0 eV/cell. The calculation puts the relative energy among the computed polymorphs at 274 meV/atom. As for the formation energy: 8.7 kJ/mol of atoms.

VASP calculation (PBE) on crystalline TcAg2Ru at its relaxed geometry.

Cell and atoms, written as CIF:
```
data_TcAg2Ru
_cell_length_a 2.843
_cell_length_b 2.843
_cell_length_c 8.059
_cell_angle_alpha 90.00
_cell_angle_beta 90.00
_cell_angle_gamma 90.00
_symmetry_space_group_name_H-M 'P 4 m m'
_symmetry_Int_Tables_number 99
loop_
_symmetry_equiv_pos_as_xyz
'x,y,z'
'-y,x,z'
'-x,-y,z'
'y,-x,z'
'-x,y,z'
'y,x,z'
'x,-y,z'
'-y,-x,z'
loop_
_atom_site_label
_atom_site_fract_x
_atom_site_fract_y
_atom_site_fract_z
_atom_site_occupancy
Tc1 0.000 0.000 0.000 1
Ag1 0.000 0.000 0.540 1
Ag2 0.500 0.500 0.271 1
Ru1 0.500 0.500 0.808 1
```

The total energy comes out at -24.4 eV/cell. The calculation puts the relative energy among the computed polymorphs at 11 meV/atom. As for the formation energy: 23.4 kJ/mol of atoms.

VASP calculation (PBE) on crystalline TcPS at its relaxed geometry.

Cell and atoms, written as CIF:
```
data_TcPS
_cell_length_a 4.399
_cell_length_b 10.597
_cell_length_c 4.675
_cell_angle_alpha 90.00
_cell_angle_beta 90.00
_cell_angle_gamma 90.00
_symmetry_space_group_name_H-M 'C m c m'
_symmetry_Int_Tables_number 63
_symmetry_space_group_name_Hall '-C 2c 2'
loop_
_atom_site_label
_atom_site_fract_x
_atom_site_fract_y
_atom_site_fract_z
_atom_site_occupancy
Tc1 0.000 0.090 0.250 1
P1 0.000 0.125 0.750 1
S1 0.000 0.339 0.750 1
```

The value obtained for the uncorrected formation energy is 0.033 eV per atom. The total energy comes out at -79.2 eV/cell. The calculation puts the relative energy among the computed polymorphs at 562 meV/atom.

VASP calculation (PBE) on crystalline SnW4Se7 at its relaxed geometry.

Cell and atoms, written as CIF:
```
data_SnW4Se7
_cell_length_a 18.468
_cell_length_b 4.653
_cell_length_c 6.111
_cell_angle_alpha 90.00
_cell_angle_beta 90.00
_cell_angle_gamma 90.00
_symmetry_space_group_name_H-M 'P m n 21'
_symmetry_Int_Tables_number 31
loop_
_symmetry_equiv_pos_as_xyz
'x,y,z'
'-x+1/2,-y,z+1/2'
'-x,y,z'
'x+1/2,-y,z+1/2'
loop_
_atom_site_label
_atom_site_fract_x
_atom_site_fract_y
_atom_site_fract_z
_atom_site_occupancy
Sn1 0.000 0.108 0.000 1
W1 0.140 0.765 0.402 1
W2 0.249 0.597 0.053 1
Se1 0.000 0.858 0.430 1
Se2 0.109 0.614 0.028 1
Se3 0.117 0.277 0.579 1
Se4 0.230 0.104 0.201 1
```

The value obtained for the uncorrected formation energy is 0.064 eV per atom. The total energy comes out at -158.9 eV/cell.

VASP calculation (PBE) on crystalline KV2FePd at its relaxed geometry.

Cell and atoms, written as CIF:
```
data_KV2FePd
_cell_length_a 4.307
_cell_length_b 4.307
_cell_length_c 5.134
_cell_angle_alpha 90.00
_cell_angle_beta 90.00
_cell_angle_gamma 90.00
_symmetry_space_group_name_H-M 'P 4/m m m'
_symmetry_Int_Tables_number 123
_symmetry_space_group_name_Hall '-P 4 2'
loop_
_atom_site_label
_atom_site_fract_x
_atom_site_fract_y
_atom_site_fract_z
_atom_site_occupancy
K1 0.000 0.000 0.000 1
V1 0.000 0.500 0.500 1
Fe1 0.500 0.500 0.500 1
Pd1 0.500 0.500 0.000 1
```

The total energy comes out at -28.6 eV/cell. As for the formation energy: 85.0 kJ/mol of atoms.